Entry 1:
Compound: SrTaAu2
Source: Alexandria via LeMat-Bulk
Functional: PBE
Structure: relaxed

a b c (Å): 3.542 3.542 7.285
angles (deg): 90.00 90.00 90.00
Fractional positions:
Ta: 0.500 0.500 0.817
Sr: 0.000 0.000 0.484
Au: 0.000 0.000 0.989
Au: 0.500 0.500 0.210

## Properties
**Energy relative to the elements**: 0.1538 eV per atom
**Energy relative to the lowest polymorph listed for this composition**: 282 meV/atom
**D(E_F)**: 3.29 states/eV/f.u.
**Volume**: 22.85 Å³ per atom

***

Entry 2:
Compound: Ce2GePb
Source: Alexandria via LeMat-Bulk
Functional: PBE
Structure: relaxed

a b c (Å): 4.076 4.076 8.761
angles (deg): 76.55 76.55 60.02
Fractional positions:
Ce: 0.264 0.264 0.209
Pb: 0.500 0.500 0.500
Ce: 0.069 0.069 0.792
Ge: 0.667 0.667 0.999

## Properties
**Energy relative to the elements**: -0.4165 eV per atom
**D(E_F)**: 10.53 states/eV/f.u.
**Volume**: 30.37 Å³ per atom

***

Entry 3:
Compound: Tb6MgCd
Source: Alexandria via LeMat-Bulk
Functional: PBE
Structure: relaxed

a b c (Å): 5.080 5.081 9.823
angles (deg): 75.01 75.08 90.00
Fractional positions:
Tb: 0.885 0.385 0.231
Tb: 0.749 0.749 0.502
Tb: 0.115 0.615 0.769
Tb: 0.385 0.885 0.231
Cd: 0.000 0.000 0.000
Tb: 0.615 0.115 0.769
Tb: 0.251 0.251 0.498
Mg: 0.500 0.500 0.000

## Properties
**Energy relative to the elements**: -0.0901 eV per atom
**Energy relative to the lowest polymorph listed for this composition**: 0 meV/atom
**D(E_F)**: 8.30 states/eV/f.u.
**Volume**: 29.51 Å³ per atom

***

Entry 4:
Compound: La3CeIr8
Source: Alexandria via LeMat-Bulk
Functional: PBE
Structure: relaxed

a b c (Å): 5.458 5.458 9.440
angles (deg): 73.20 73.20 60.00
Fractional positions:
Ir: 0.938 0.441 0.684
Ir: 0.938 0.938 0.684
La: 0.000 0.000 0.000
Ir: 0.934 0.437 0.191
Ir: 0.188 0.188 0.437
La: 0.500 0.500 0.501
La: 0.375 0.375 0.876
Ir: 0.437 0.934 0.191
Ir: 0.687 0.687 0.938
Ir: 0.441 0.938 0.684
Ce: 0.875 0.875 0.374
Ir: 0.437 0.437 0.191

## Properties
**Energy relative to the elements**: -0.7342 eV per atom
**D(E_F)**: 8.07 states/eV/f.u.
**Volume**: 19.13 Å³ per atom